--- a ---
Compound: Rb2Ge3I8
Source: Alexandria
Functional: PBE-GGA
Structure: relaxed

abc: 7.7959 8.9139 9.9539
angles: 116.60 105.17 90.00
Closest atoms and distances in Å follow each position.
Positions (direct):
Ge 0.0000 0.7425 0.0000  6 I 2.96-3.19
Ge 0.5000 0.0000 0.0000  6 I 3.03-3.05
Ge 0.0000 0.2575 0.0000  6 I 2.96-3.19
Rb 0.6725 0.7418 0.4835  6 I 3.67-3.72
Rb 0.3275 0.2582 0.5165  6 I 3.67-3.72
I 0.6093 0.1407 0.8038  2 Ge 3.03-3.04
I 0.3907 0.3369 0.1962  2 Ge 3.03-3.04
I 0.0525 0.3956 0.7913  2 Ge 2.96
I 0.9475 0.6044 0.2087  2 Ge 2.96
I 0.8900 0.1013 0.2026  3 Ge 3.05-3.19
I 0.6093 0.6631 0.8038  2 Ge 3.03-3.04
I 0.3907 0.8593 0.1962  2 Ge 3.03-3.04
I 0.1100 0.8987 0.7974  3 Ge 3.05-3.19

Its space-group type is No. 12. The magnetic moment is 0.0 μB/cell. As for the density of states at the Fermi level: 0.000 states/eV/cell.



--- b ---
Compound: Rb2Ge3I8
Source: Alexandria
Functional: PBE-GGA
Structure: relaxed

abc: 7.6351 9.6797 9.6797
angles: 56.37 88.09 88.09
Closest atoms and distances in Å follow each position.
Positions (direct):
Rb 0.4810 0.7373 0.7373  6 I 3.62-3.93
Rb 0.5190 0.2627 0.2627  6 I 3.62-3.93
Ge 0.0000 0.7412 0.2588  6 I 2.97-3.21
Ge 0.5000 0.0000 0.0000  6 I 3.03-3.04
Ge 0.0000 0.2588 0.7412  6 I 2.97-3.21
I 0.8851 0.3976 0.3976  2 Ge 2.97
I 0.3368 0.1367 0.6660  2 Ge 3.03
I 0.1641 0.1015 0.1015  3 Ge 3.04-3.21
I 0.6632 0.8633 0.3340  2 Ge 3.03
I 0.8359 0.8985 0.8985  3 Ge 3.04-3.21
I 0.3368 0.6660 0.1367  2 Ge 3.03
I 0.1149 0.6024 0.6024  2 Ge 2.97
I 0.6632 0.3340 0.8633  2 Ge 3.03

Its space-group type is No. 12. The magnetic moment is 0.0 μB/cell. As for the density of states at the Fermi level: 0.000 states/eV/cell.



Verdict on stability: b comes out at the bottom.